No. 1
Here is CoW2C after structural relaxation from OQMD. Energies are from PBE.

Cell and atoms, written as POSCAR:
```
CoW2C
1.0
-1.375 -0.790 -2.561
1.784 -1.968 1.421
-9.999 -4.245 6.676
C Co W
2 2 4
direct
0.000 0.000 0.000
0.000 0.000 0.500
0.667 0.333 0.250
0.333 0.667 0.750
0.333 0.667 0.094
0.333 0.667 0.406
0.667 0.333 0.594
0.667 0.333 0.906
```

Summary:
- Space-group type: P6_3/mmc (194)
- Total magnetization: 1.140 μB per cell
- E: -82.815 eV/cell

No. 2
Here is Y4Co3W2C3 after structural relaxation from OQMD. Energies are from PBE.

Cell and atoms, written as POSCAR:
```
Y4Co3W2C3
1.0
-5.303 0.961 -1.766
-3.367 -4.386 -1.262
-1.375 0.792 13.667
C Co W Y
6 6 4 8
direct
0.500 0.000 0.000
0.791 0.343 0.001
0.657 0.209 0.499
0.000 0.500 0.500
0.343 0.791 0.501
0.209 0.657 0.999
0.418 0.084 0.247
0.427 0.573 0.250
0.916 0.582 0.253
0.084 0.418 0.747
0.573 0.427 0.750
0.582 0.916 0.753
0.521 0.712 0.081
0.288 0.479 0.419
0.712 0.521 0.581
0.479 0.288 0.919
0.184 0.371 0.101
0.877 0.039 0.124
0.961 0.123 0.376
0.629 0.816 0.399
0.371 0.184 0.601
0.039 0.877 0.624
0.123 0.961 0.876
0.816 0.629 0.899
```

Summary:
- Space-group type: C2/c (15)
- Total magnetization: 0.740 μB per cell
- E: -203.490 eV/cell

No. 3
Here is Zr4Co3W2C3 after structural relaxation from OQMD. Energies are from PBE.

Cell and atoms, written as POSCAR:
```
Zr4Co3W2C3
1.0
4.806 -2.750 0.000
4.806 2.750 0.000
-3.290 0.000 12.928
C Co W Zr
6 6 4 8
direct
0.000 0.500 0.000
0.662 0.176 0.000
0.824 0.338 0.500
0.500 0.000 0.500
0.176 0.662 0.500
0.338 0.824 0.000
0.665 0.588 0.249
0.136 0.864 0.250
0.412 0.335 0.251
0.588 0.665 0.749
0.864 0.136 0.750
0.335 0.412 0.751
0.352 0.529 0.082
0.471 0.648 0.418
0.529 0.352 0.582
0.648 0.471 0.918
0.703 0.878 0.110
0.043 0.197 0.111
0.803 0.957 0.389
0.122 0.297 0.390
0.878 0.703 0.610
0.197 0.043 0.611
0.957 0.803 0.889
0.297 0.122 0.890
```

Summary:
- Space-group type: C2/c (15)
- Total magnetization: 3.957 μB per cell
- E: -224.509 eV/cell